Entry 1:
Compound: RhAu3
Source: the Alexandria database
Functional: GGA-PBE
Structure: relaxed

- Formation energy: 3.5 kcal/mol of atoms
- Space group: P4/mmm
- Energy: -4.143 eV per atom
- DOS(E_F): 0.94 states/eV per atom
- Total moment: 0.36 μB per formula unit
- Mass density: 16.7 Mg/m³

a b c (Å): 3.333 3.333 6.191
angles (deg): 90.00 90.00 90.00
Fractional coordinates of all 4 atoms:
Au: 0.000 0.000 0.739
Au: 0.500 0.500 0.000
Rh: 0.500 0.500 0.500
Au: 0.000 0.000 0.261

Entry 2:
Compound: RhAu2
Source: the Alexandria database
Functional: GGA-PBE
Structure: relaxed

- Formation energy: 3.7 kcal/mol of atoms
- Excess energy over the best structure of this formula in the dataset: 0.018 eV per atom
- Space group: I4/mmm
- Energy: -4.474 eV per atom
- DOS(E_F): 1.14 states/eV per atom
- Total moment: 0.55 μB per formula unit
- Mass density: 16.4 Mg/m³

a b c (Å): 6.504 6.504 6.504
angles (deg): 154.68 154.68 36.11
Fractional coordinates of all 3 atoms:
Rh: 0.000 0.000 0.000
Au: 0.338 0.338 0.000
Au: 0.662 0.662 0.000

Entry 3:
Compound: RhAu2
Source: the Alexandria database
Functional: GGA-PBE
Structure: relaxed

- Formation energy: 5.3 kcal/mol of atoms
- Excess energy over the best structure of this formula in the dataset: 0.087 eV per atom
- Space group: P-62m
- Energy: -4.405 eV per atom
- DOS(E_F): 1.08 states/eV per atom
- Total moment: 0.59 μB per formula unit
- Mass density: 16.2 Mg/m³

a b c (Å): 7.939 7.939 2.797
angles (deg): 90.00 90.00 120.00
Fractional coordinates of all 9 atoms:
Rh: 0.333 0.667 0.000
Au: 0.000 0.636 0.500
Au: 0.696 0.696 0.000
Au: 0.304 0.000 0.000
Au: 0.364 0.364 0.500
Rh: 0.667 0.333 0.000
Rh: 0.000 0.000 0.500
Au: 0.636 0.000 0.500
Au: 0.000 0.304 0.000

Entry 4:
Compound: RhAu3
Source: the Alexandria database
Functional: GGA-PBE
Structure: relaxed

- Formation energy: 6.3 kcal/mol of atoms
- Space group: Pm-3n
- Energy: -4.022 eV per atom
- DOS(E_F): 1.29 states/eV per atom
- Total moment: 0.07 μB per formula unit
- Mass density: 16.3 Mg/m³

a b c (Å): 5.207 5.207 5.207
angles (deg): 90.00 90.00 90.00
Fractional coordinates of all 8 atoms:
Au: 0.000 0.250 0.500
Au: 0.500 0.000 0.250
Au: 0.250 0.500 0.000
Rh: 0.000 0.000 0.000
Au: 0.500 0.000 0.750
Au: 0.000 0.750 0.500
Au: 0.750 0.500 0.000
Rh: 0.500 0.500 0.500

Entry 5:
Compound: Rh2Au
Source: the Alexandria database
Functional: GGA-PBE
Structure: relaxed

- Formation energy: 6.3 kcal/mol of atoms
- Excess energy over the best structure of this formula in the dataset: 0.147 eV per atom
- Space group: P6/mmm
- Energy: -5.722 eV per atom
- DOS(E_F): 1.89 states/eV per atom
- Total moment: 0.00 μB per formula unit
- Mass density: 14.2 Mg/m³

a b c (Å): 4.464 4.464 2.739
angles (deg): 90.00 90.00 120.00
Fractional coordinates of all 3 atoms:
Au: 0.000 0.000 0.500
Rh: 0.333 0.667 0.000
Rh: 0.667 0.333 0.000

Entry 6:
Compound: Rh2Au
Source: the Alexandria database
Functional: GGA-PBE
Structure: relaxed

- Formation energy: 4.3 kcal/mol of atoms
- Excess energy over the best structure of this formula in the dataset: 0.062 eV per atom
- Space group: Cmcm
- Energy: -5.808 eV per atom
- DOS(E_F): 1.74 states/eV per atom
- Total moment: 1.14 μB per formula unit
- Mass density: 14.4 Mg/m³

a b c (Å): 6.308 6.308 3.952
angles (deg): 90.00 90.00 143.80
Fractional coordinates of all 6 atoms:
Rh: 0.250 0.750 0.250
Au: 0.916 0.084 0.250
Au: 0.084 0.916 0.750
Rh: 0.750 0.250 0.750
Rh: 0.410 0.590 0.750
Rh: 0.590 0.410 0.250

Entry 7:
Compound: RhAu2
Source: the Alexandria database
Functional: GGA-PBE
Structure: relaxed

- Formation energy: 16.0 kcal/mol of atoms
- Excess energy over the best structure of this formula in the dataset: 0.551 eV per atom
- Space group: Pa-3
- Energy: -3.941 eV per atom
- DOS(E_F): 1.17 states/eV per atom
- Total moment: 0.00 μB per formula unit
- Mass density: 13.4 Mg/m³

a b c (Å): 6.274 6.274 6.274
angles (deg): 90.00 90.00 90.00
Fractional coordinates of all 12 atoms:
Rh: 0.000 0.000 0.000
Au: 0.630 0.870 0.130
Rh: 0.000 0.500 0.500
Au: 0.130 0.630 0.870
Au: 0.370 0.130 0.870
Rh: 0.500 0.500 0.000
Au: 0.870 0.130 0.630
Au: 0.370 0.370 0.370
Au: 0.630 0.630 0.630
Au: 0.870 0.370 0.130
Rh: 0.500 0.000 0.500
Au: 0.130 0.870 0.370

Entry 8:
Compound: Rh2Au
Source: the Alexandria database
Functional: GGA-PBE
Structure: relaxed

- Formation energy: 23.3 kcal/mol of atoms
- Excess energy over the best structure of this formula in the dataset: 0.888 eV per atom
- Space group: Pa-3
- Energy: -4.982 eV per atom
- DOS(E_F): 1.83 states/eV per atom
- Total moment: 0.00 μB per formula unit
- Mass density: 11.4 Mg/m³

a b c (Å): 6.161 6.161 6.161
angles (deg): 90.00 90.00 90.00
Fractional coordinates of all 12 atoms:
Rh: 0.889 0.389 0.111
Rh: 0.389 0.389 0.389
Rh: 0.111 0.889 0.389
Rh: 0.611 0.889 0.111
Rh: 0.389 0.111 0.889
Au: 0.000 0.000 0.000
Rh: 0.611 0.611 0.611
Au: 0.000 0.500 0.500
Rh: 0.111 0.611 0.889
Rh: 0.889 0.111 0.611
Au: 0.500 0.000 0.500
Au: 0.500 0.500 0.000

Entry 9:
Compound: RhAu3
Source: the Alexandria database
Functional: GGA-PBE
Structure: relaxed

- Formation energy: 3.4 kcal/mol of atoms
- Space group: Pmmn
- Energy: -4.146 eV per atom
- DOS(E_F): 1.35 states/eV per atom
- Total moment: 0.00 μB per formula unit
- Mass density: 16.8 Mg/m³

a b c (Å): 4.785 4.958 5.765
angles (deg): 90.00 90.00 90.00
Fractional coordinates of all 8 atoms:
Au: 0.500 0.171 0.749
Au: 0.000 0.829 0.751
Au: 0.000 0.829 0.249
Rh: 0.000 0.325 0.000
Au: 0.000 0.339 0.500
Au: 0.500 0.661 0.000
Rh: 0.500 0.675 0.500
Au: 0.500 0.171 0.251

Entry 10:
Compound: RhAu5
Source: the Alexandria database
Functional: GGA-PBE
Structure: relaxed

- Formation energy: 10.2 kcal/mol of atoms
- Excess energy over the best structure of this formula in the dataset: 0.344 eV per atom
- Space group: P6/mmm
- Energy: -3.515 eV per atom
- DOS(E_F): 1.14 states/eV per atom
- Total moment: 1.18 μB per formula unit
- Mass density: 15.1 Mg/m³

a b c (Å): 5.377 5.377 4.766
angles (deg): 90.00 90.00 120.00
Fractional coordinates of all 6 atoms:
Au: 0.333 0.667 0.000
Rh: 0.000 0.000 0.000
Au: 0.667 0.333 0.000
Au: 0.000 0.500 0.500
Au: 0.500 0.000 0.500
Au: 0.500 0.500 0.500

Entry 11:
Compound: Rh2Au
Source: the Alexandria database
Functional: GGA-PBE
Structure: relaxed

- Formation energy: 4.9 kcal/mol of atoms
- Excess energy over the best structure of this formula in the dataset: 0.091 eV per atom
- Space group: Cm
- Energy: -5.779 eV per atom
- DOS(E_F): 1.91 states/eV per atom
- Total moment: 0.01 μB per formula unit
- Mass density: 14.4 Mg/m³

a b c (Å): 5.412 5.412 6.627
angles (deg): 74.78 74.78 29.88
Fractional coordinates of all 6 atoms:
Au: 0.999 0.999 0.000
Rh: 0.614 0.614 0.284
Au: 0.333 0.333 0.338
Rh: 0.665 0.665 0.667
Rh: 0.950 0.950 0.613
Rh: 0.272 0.272 0.931

Entry 12:
Compound: Rh4Au
Source: the Alexandria database
Functional: GGA-PBE
Structure: relaxed

- Formation energy: 45.6 kcal/mol of atoms
- Excess energy over the best structure of this formula in the dataset: 1.851 eV per atom
- Space group: Pm-3m
- Energy: -4.561 eV per atom
- DOS(E_F): 2.54 states/eV per atom
- Total moment: 3.96 μB per formula unit
- Mass density: 9.1 Mg/m³

a b c (Å): 4.809 4.809 4.809
angles (deg): 90.00 90.00 90.00
Fractional coordinates of all 5 atoms:
Rh: 0.500 0.500 0.000
Rh: 0.500 0.000 0.500
Rh: 0.000 0.000 0.000
Au: 0.500 0.500 0.500
Rh: 0.000 0.500 0.500

Entry 13:
Compound: Rh2Au
Source: the Alexandria database
Functional: GGA-PBE
Structure: relaxed

- Formation energy: 12.4 kcal/mol of atoms
- Excess energy over the best structure of this formula in the dataset: 0.415 eV per atom
- Space group: I4_1/amd
- Energy: -5.455 eV per atom
- DOS(E_F): 1.70 states/eV per atom
- Total moment: 0.00 μB per formula unit
- Mass density: 13.0 Mg/m³

a b c (Å): 9.222 9.222 9.222
angles (deg): 158.78 158.78 30.18
Fractional coordinates of all 6 atoms:
Rh: 0.574 0.574 0.000
Au: 0.750 0.250 0.500
Au: 0.000 0.000 0.000
Rh: 0.324 0.824 0.500
Rh: 0.426 0.426 0.000
Rh: 0.176 0.676 0.500